NbSn2O2: optimized geometry, PBE.

- Energy relative to the lowest polymorph listed for this composition: 0.000 eV/atom
- E_form (uncorrected): -420 meV/atom
- Total magnetic moment: 0.4956 μB per atom

a b c (Å): 3.5988 3.5988 12.7684
angles (deg): 90.00 90.00 90.00
Last column: nearest neighbours and their distance in Å.
Space group I4/mmm (No. 139)
Asymmetric unit:
Nb: 0.0000 0.0000 0.0000  8 Sn 3.18
Sn: 0.0000 0.0000 0.3508  4 O 2.21
O: 0.0000 0.5000 0.2500  4 Sn 2.21

=====

Tl2PbCl: optimized geometry, PBE.

- Energy relative to the lowest polymorph listed for this composition: 0.176 eV/atom
- E_form (uncorrected): -179 meV/atom
- Total magnetic moment: 0.0000 μB per atom

a b c (Å): 7.7577 7.7577 7.7577
angles (deg): 90.00 90.00 90.00
Last column: nearest neighbours and their distance in Å.
Space group F-43m (No. 216)
Asymmetric unit:
Tl: 0.0000 0.0000 0.0000  4 Pb 3.36, 4 Tl 3.36
Tl: 0.2500 0.2500 0.2500  4 Tl 3.36, 4 Cl 3.36
Pb: 0.2500 0.2500 0.7500  4 Tl 3.36, 4 Cl 3.36
Cl: 0.0000 0.0000 0.5000  4 Tl 3.36, 4 Pb 3.36

=====

Zr2CdFe: optimized geometry, PBE.

- Total magnetic moment: 0.0001 μB per atom
- Energy of formation: 63 meV per atom

a b c (Å): 3.3329 4.2717 5.7618
angles (deg): 90.00 106.65 90.00
Last column: nearest neighbours and their distance in Å.
Space group Pm (No. 6)
Asymmetric unit:
Zr: 0.0000 0.0000 0.0000  1 Fe 2.44
Zr: 0.3281 0.5000 0.6623  4 Fe 2.77, 3 Cd 2.96-3.08
Cd: 0.6085 0.5000 0.2199  2 Fe 2.84, 7 Zr 2.96-3.08
Fe: 0.7754 0.0000 0.5586  1 Zr 2.44

=====

Rb2TbPuS4: optimized geometry, PBE.

- E_form (uncorrected): -1694 meV/atom
- Total magnetic moment: 0.6250 μB per atom

a b c (Å): 7.1596 4.1270 8.0259
angles (deg): 90.00 107.30 90.00
Last column: nearest neighbours and their distance in Å.
Space group P2/m (No. 10)
Asymmetric unit:
Rb: 0.0000 0.0000 0.0000  6 S 3.34-3.36
Rb: 0.5000 0.5000 0.0000  6 S 3.36-3.37
Tb: 0.0000 0.5000 0.5000  6 S 2.79-2.80
Pu: 0.5000 0.0000 0.5000  6 S 2.80-2.82
S: 0.2281 0.0000 0.6928  2 Tb 2.80, 1 Pu 2.82
S: 0.2690 0.5000 0.3097  1 Tb 2.79, 2 Pu 2.80

=====

TbZnGa3: optimized geometry, PBE.

- Total magnetic moment: 0.0000 μB per atom
- Energy of formation: -226 meV per atom

a b c (Å): 5.6271 3.0800 11.7184
angles (deg): 90.00 90.00 90.00
Last column: nearest neighbours and their distance in Å.
Space group Pmma (No. 51)
Asymmetric unit:
Tb: 0.2500 0.0000 0.1941  2 Tb 3.08, 8 Ga 3.09-3.10, 4 Zn 3.21
Zn: 0.2500 0.5000 0.8011  4 Ga 2.68-2.72
Ga: 0.0000 0.5000 0.0000  2 Zn 2.72, 2 Ga 2.81
Ga: 0.0069 0.5000 0.3915  2 Ga 2.54-2.74, 1 Zn 2.68

=====

LaHg22: optimized geometry, PBE.

- Total magnetic moment: 0.0000 μB per atom
- Energy of formation: -29 meV per atom

a b c (Å): 17.1053 17.1053 17.1053
angles (deg): 90.00 90.00 90.00
Last column: nearest neighbours and their distance in Å.
Space group Fd-3m (No. 227, origin choice 2)
Asymmetric unit:
La: 0.1250 0.1250 0.1250  16 Hg 3.62-3.70
Hg: 0.0000 0.0000 0.0000  12 Hg 3.57, 2 La 3.70
Hg: 0.0000 0.0000 0.5000  6 Hg 3.04
Hg: 0.0161 0.3750 0.8750  4 Hg 3.04-3.24
Hg: 0.0621 0.0621 0.3168  4 Hg 3.04-3.24

=====

Tb3Y2Sc3: optimized geometry, PBE.

- Energy relative to the lowest polymorph listed for this composition: 0.018 eV/atom
- Total magnetic moment: 0.0000 μB per atom
- Energy of formation: 51 meV per atom

a b c (Å): 4.8120 4.9312 19.6043
angles (deg): 90.00 90.00 90.00
Last column: nearest neighbours and their distance in Å.
Space group Immm (No. 71)
Asymmetric unit:
Tb: 0.0000 0.0000 0.0000  8 Sc 3.40-3.44, 4 Tb 3.42
Tb: 0.0000 0.5000 0.1206  6 Sc 3.37-3.45, 2 Tb 3.42, 4 Y 3.52
Y: 0.0000 0.0000 0.2485  4 Sc 3.44-3.53, 4 Y 3.45, 4 Tb 3.52
Sc: 0.0000 0.0000 0.5000  8 Tb 3.37-3.44, 4 Sc 3.45
Sc: 0.0000 0.5000 0.3772  6 Tb 3.40-3.45, 4 Y 3.44-3.53, 2 Sc 3.45

=====

TbSm2Hg8: optimized geometry, PBE.

- Total magnetic moment: 0.0000 μB per atom
- Energy of formation: -338 meV per atom

a b c (Å): 16.0585 5.0278 7.2701
angles (deg): 90.00 109.91 90.00
Last column: nearest neighbours and their distance in Å.
Space group C2/m (No. 12)
Asymmetric unit:
Tb: 0.0000 0.0000 0.0000  8 Hg 3.05-3.29
Sm: 0.2112 0.5000 0.6552  10 Hg 3.17-3.45
Hg: 0.0224 0.5000 0.7291  7 Hg 3.11-3.37, 1 Sm 3.25, 2 Tb 3.29
Hg: 0.0952 0.0000 0.4508  4 Hg 3.05-3.37, 1 Tb 3.11, 2 Sm 3.18
Hg: 0.1512 0.5000 0.1713  5 Hg 3.09-3.28, 3 Sm 3.30-3.32, 2 Tb 3.42
Hg: 0.1689 0.0000 0.8962  6 Hg 3.05-3.37, 1 Tb 3.05, 3 Sm 3.17-3.27

=====

Ce3Hg5: optimized geometry, PBE.

- Energy relative to the lowest polymorph listed for this composition: 0.010 eV/atom
- Total magnetic moment: 0.4038 μB per atom
- Energy of formation: -284 meV per atom

a b c (Å): 8.6319 8.6319 3.3722
angles (deg): 90.00 90.00 120.00
Last column: nearest neighbours and their distance in Å.
Space group P-62m (No. 189)
Asymmetric unit:
Ce: 0.0000 0.6636 0.0000  10 Hg 3.25-3.53, 2 Ce 3.37
Hg: 0.0000 0.3043 0.5000  2 Hg 3.01, 4 Ce 3.25
Hg: 0.3333 0.6667 0.5000  3 Hg 3.01, 6 Ce 3.32